Compound: SmDyNi2I2
Source: OQMD
Functional: GGA-PBE
Structure: relaxed

Results
The final energy is -4.802 eV/atom.

Lattice parameters (Å, degrees): 4.0893 4.0893 12.0774 90.00 90.00 120.00
Closest atoms and distances in Å follow each position.
Atoms (fractional coordinates):
I (0.6667, 0.3333, 0.3313)  3 Sm 3.21
I (0.3333, 0.6667, 0.6700)  3 Dy 3.20
Dy (0.0000, 0.0000, 0.8491)  6 Ni 2.93-3.02, 3 I 3.20
Ni (0.3333, 0.6667, 0.0049)  3 Ni 2.37
Ni (0.6667, 0.3333, 0.9934)  3 Ni 2.37
Sm (0.0000, 0.0000, 0.1513)  6 Ni 2.95-3.04, 3 I 3.21